! PBE U8TcOs2, optimized geometry; values from VASP
&SYSTEM
  ibrav = 0, nat = 11, ntyp = 3
/
ATOMIC_SPECIES
U 238.03 U.upf
Tc 98.00 Tc.upf
Os 190.23 Os.upf
CELL_PARAMETERS angstrom
4.6523 -0.0034 -1.4065
-0.3180 5.2786 -1.0391
-0.0927 1.4188 8.0939
ATOMIC_POSITIONS angstrom
U 2.5916 2.7526 0.1674
U 1.4084 1.2750 4.6581
U 0.5890 1.2223 1.9568
U -0.0080 3.8419 -0.0009
U 3.6526 5.4717 3.6914
U 2.8333 5.4190 0.9901
U 1.6501 3.9414 5.4808
U 4.2496 2.8521 5.6492
Tc 2.3262 -0.0017 -0.7033
Os 0.8449 3.8223 2.8025
Os 3.3967 2.8717 2.8457
! formation enthalpy at 0 K	-0.75	eV per formula unit
! Fermi-level density of states	24.8	states/eV/cell
! SG	P-1, No. 2